PBE-GGA BiBrCl, optimized geometry; calculated density = 5.13 g cm⁻³; E above lowest polymorph = 0 meV per atom; crystal system = orthorhombic; formation energy (no corrections) = -0.516 eV/atom
1.0
6.6934 0.0000 0.0000
0.0000 8.3115 0.0000
0.0000 0.0000 7.5471
Bi Br Cl
4 4 4
Cartesian
5.0200 1.0311 5.6072 Bi
5.0200 5.1868 5.7135 Bi
1.6733 7.2804 1.9399 Bi
1.6733 3.1247 1.8336 Bi
5.0200 3.0726 0.1526 Br
5.0200 7.2284 3.6210 Br
1.6733 5.2388 7.3945 Br
1.6733 1.0831 3.9261 Br
5.0200 3.1554 3.8437 Cl
5.0200 7.3111 7.4770 Cl
1.6733 5.1561 3.7034 Cl
1.6733 1.0004 0.0702 Cl